Entry 1:
The following is a GGA-PBEsol calculation of an optimized crystal structure of TaCd2Fe, from Alexandria via LeMat-Bulk.

Cell lengths 2.816, 2.816, 8.922 Å; angles 90.00, 90.00, 106.05 degrees
Last column: magnetic moment on the atom in μB.
Atoms (fractional coordinates):
Fe (0.000, 0.000, 0.487)  2.02
Cd (0.500, 0.500, 0.723)  -0.02
Cd (0.000, 0.000, 0.009)  0.00
Ta (0.500, 0.500, 0.281)  -0.08

Properties
- DOS(E_F): 0.625 states/eV per atom
- Raw total energy: -23.11 eV per cell
- E above lowest polymorph: 0 meV/atom

Entry 2:
The following is a GGA-PBEsol calculation of an optimized crystal structure of Cs2NaMoBr6, from Alexandria via LeMat-Bulk.

Cell lengths 7.696, 7.696, 7.696 Å; angles 60.00, 60.00, 60.00 degrees
Last column: magnetic moment on the atom in μB.
Atoms (fractional coordinates):
Br (0.236, 0.764, 0.764)  0.02
Br (0.236, 0.236, 0.764)  0.02
Br (0.764, 0.236, 0.236)  0.02
Br (0.236, 0.764, 0.236)  0.02
Cs (0.750, 0.750, 0.750)  0.00
Br (0.764, 0.764, 0.236)  0.02
Na (0.500, 0.500, 0.500)  0.00
Mo (0.000, 0.000, 0.000)  2.48
Cs (0.250, 0.250, 0.250)  0.00
Br (0.764, 0.236, 0.764)  0.02

Properties
- ΔE_f (raw): -12.40 eV per formula unit
- Raw total energy: -38.67 eV per cell